1.
SrLiHg2: optimized geometry, PBEsol.

abc: 3.7306 3.7306 7.0349
angles: 90.00 90.00 90.00
With the nearest neighbours (Å) after each atom.
Element x y z (fractional)
Sr (0.5000, 0.5000, 0.5000)  8 Hg 3.35, 2 Li 3.52, 4 Sr 3.73
Hg (0.0000, 0.0000, 0.7940)  1 Hg 2.90, 4 Li 3.01
Hg (0.0000, 0.0000, 0.2060)  1 Hg 2.90, 4 Li 3.01
Li (0.5000, 0.5000, 0.0000)  8 Hg 3.01

Computed properties:
As for the density of states at the Fermi level: 2.02 states/eV/cell. As for the formation energy: -174 kJ/mol of formula units.

2.
Sr2LiHg2: optimized geometry, PBEsol.

abc: 4.3410 4.3410 9.6587
angles: 102.99 102.99 90.00
With the nearest neighbours (Å) after each atom.
Element x y z (fractional)
Sr (0.3866, 0.3866, 0.7732)  4 Hg 3.31, 4 Li 3.71
Sr (0.6134, 0.6134, 0.2268)  4 Hg 3.31, 4 Li 3.71
Hg (0.2500, 0.7500, 0.5000)  4 Hg 3.07, 4 Sr 3.31
Hg (0.7500, 0.2500, 0.5000)  4 Hg 3.07, 4 Sr 3.31
Li (0.0000, 0.0000, 0.0000)  8 Sr 3.71

Computed properties:
As for the density of states at the Fermi level: 3.67 states/eV/cell. As for the formation energy: -91 kJ/mol of formula units.

3.
Sr2LiHg: optimized geometry, PBEsol.

abc: 5.4439 5.4439 5.4439
angles: 60.00 60.00 60.00
With the nearest neighbours (Å) after each atom.
Element x y z (fractional)
Hg (0.5000, 0.5000, 0.5000)  4 Sr 3.33, 4 Li 3.33
Li (0.2500, 0.2500, 0.2500)  4 Hg 3.33, 4 Sr 3.33
Sr (0.0000, 0.0000, 0.0000)  4 Sr 3.33, 4 Li 3.33
Sr (0.7500, 0.7500, 0.7500)  4 Hg 3.33, 4 Sr 3.33

Computed properties:
As for the density of states at the Fermi level: 4.15 states/eV/cell. As for the formation energy: -51 kJ/mol of formula units.

4.
SrLiHg2: optimized geometry, PBEsol.

abc: 5.1265 5.1265 5.1265
angles: 60.00 60.00 60.00
With the nearest neighbours (Å) after each atom.
Element x y z (fractional)
Hg (0.0000, 0.0000, 0.0000)  4 Hg 3.14, 4 Sr 3.14
Hg (0.7500, 0.7500, 0.7500)  4 Hg 3.14, 4 Li 3.14
Li (0.5000, 0.5000, 0.5000)  4 Hg 3.14, 4 Sr 3.14
Sr (0.2500, 0.2500, 0.2500)  4 Hg 3.14, 4 Li 3.14

Computed properties:
As for the density of states at the Fermi level: 3.10 states/eV/cell. As for the formation energy: -147 kJ/mol of formula units.

5.
Sr2LiHg2: optimized geometry, PBEsol.

abc: 4.5440 8.2517 8.2517
angles: 90.00 90.00 90.00
With the nearest neighbours (Å) after each atom.
Element x y z (fractional)
Sr (0.5000, 0.1669, 0.6669)  6 Hg 3.25-3.38
Sr (0.5000, 0.6669, 0.8331)  6 Hg 3.25-3.38
Sr (0.5000, 0.8331, 0.3331)  6 Hg 3.25-3.38
Sr (0.5000, 0.3331, 0.1669)  6 Hg 3.25-3.38
Hg (0.0000, 0.3660, 0.8660)  1 Hg 3.13, 2 Li 3.22, 6 Sr 3.25-3.38
Hg (0.0000, 0.8660, 0.6340)  1 Hg 3.13, 2 Li 3.22, 6 Sr 3.25-3.38
Hg (0.0000, 0.6340, 0.1340)  1 Hg 3.13, 2 Li 3.22, 6 Sr 3.25-3.38
Hg (0.0000, 0.1340, 0.3660)  1 Hg 3.13, 2 Li 3.22, 6 Sr 3.25-3.38
Li (0.0000, 0.0000, 0.0000)  4 Hg 3.22
Li (0.0000, 0.5000, 0.5000)  4 Hg 3.22

Computed properties:
As for the density of states at the Fermi level: 7.66 states/eV/cell. As for the formation energy: -205 kJ/mol of formula units.

6.
Sr2Li2Hg: optimized geometry, PBEsol.

abc: 3.9830 3.9830 10.2188
angles: 101.24 101.24 90.00
With the nearest neighbours (Å) after each atom.
Element x y z (fractional)
Sr (0.4046, 0.4046, 0.8092)  4 Hg 3.38, 4 Li 3.63, 1 Sr 3.75
Sr (0.5954, 0.5954, 0.1908)  4 Hg 3.38, 4 Li 3.63, 1 Sr 3.75
Hg (0.0000, 0.0000, 0.0000)  8 Sr 3.38
Li (0.2500, 0.7500, 0.5000)  4 Li 2.82
Li (0.7500, 0.2500, 0.5000)  4 Li 2.82

Computed properties:
As for the density of states at the Fermi level: 2.68 states/eV/cell. As for the formation energy: -88 kJ/mol of formula units.

7.
Sr2LiHg: optimized geometry, PBEsol.

abc: 3.9396 5.5834 6.8177
angles: 114.17 106.79 90.00
With the nearest neighbours (Å) after each atom.
Element x y z (fractional)
Sr (0.9939, 0.9939, 0.9878)  4 Hg 3.43, 2 Li 3.66, 2 Sr 3.70
Sr (0.7880, 0.2880, 0.5760)  2 Hg 3.41, 4 Li 3.59, 2 Sr 3.70
Hg (0.5238, 0.5238, 0.0475)  2 Li 2.82
Li (0.1943, 0.6943, 0.3886)  2 Hg 2.82

Computed properties:
As for the density of states at the Fermi level: 3.53 states/eV/cell. As for the formation energy: -96 kJ/mol of formula units.

8.
Sr2LiHg: optimized geometry, PBEsol.

abc: 4.6542 4.7087 6.5777
angles: 90.00 110.72 90.00
With the nearest neighbours (Å) after each atom.
Element x y z (fractional)
Sr (0.1041, 0.0000, 0.2081)  3 Hg 3.48-3.57, 4 Li 3.49
Sr (0.3935, 0.5000, 0.7870)  3 Li 3.39-3.68, 4 Hg 3.45
Hg (0.8141, 0.0000, 0.6283)  2 Li 2.79
Li (0.6928, 0.5000, 0.3857)  2 Hg 2.79

Computed properties:
As for the density of states at the Fermi level: 2.97 states/eV/cell. As for the formation energy: -117 kJ/mol of formula units.

9.
SrLiZn2Hg: optimized geometry, PBEsol.

abc: 5.0004 4.9802 4.9802
angles: 90.00 90.00 90.00
With the nearest neighbours (Å) after each atom.
Element x y z (fractional)
Sr (0.5000, 0.5000, 0.5000)  4 Li 3.52, 8 Zn 3.53
Zn (0.0000, 0.0000, 0.5000)  2 Hg 2.49
Zn (0.0000, 0.5000, 0.0000)  2 Hg 2.49
Hg (0.0000, 0.0000, 0.0000)  4 Zn 2.49, 2 Li 2.50
Li (0.5000, 0.0000, 0.0000)  2 Hg 2.50

Computed properties:
As for the density of states at the Fermi level: 2.21 states/eV/cell. As for the formation energy: -15 kJ/mol of formula units.

10.
LiTaHg2: optimized geometry, PBEsol.

abc: 2.9823 2.9823 9.7507
angles: 81.20 81.20 60.00
With the nearest neighbours (Å) after each atom.
Element x y z (fractional)
Hg (0.2470, 0.2470, 0.2589)  3 Li 2.88, 6 Hg 2.98, 3 Ta 3.02
Hg (0.7530, 0.7530, 0.7411)  3 Li 2.88, 6 Hg 2.98, 3 Ta 3.02
Li (0.5000, 0.5000, 0.5000)  6 Hg 2.88, 6 Li 2.98
Ta (0.0000, 0.0000, 0.0000)  6 Ta 2.98, 6 Hg 3.02

Computed properties:
As for the density of states at the Fermi level: 2.62 states/eV/cell. As for the formation energy: 30 kJ/mol of formula units.

11.
LiTa2Hg: optimized geometry, PBEsol.

abc: 2.8237 4.9971 4.9993
angles: 90.00 90.00 100.25
With the nearest neighbours (Å) after each atom.
Element x y z (fractional)
Hg (0.0000, 0.5000, 0.5000)  2 Li 2.64, 2 Hg 2.82
Li (0.5000, 0.0000, 0.5000)  2 Hg 2.64, 2 Li 2.82, 4 Ta 2.91
Ta (0.2622, 0.2426, 0.0000)  4 Ta 2.61-2.82, 2 Li 2.91
Ta (0.7378, 0.7574, 0.0000)  4 Ta 2.61-2.82, 2 Li 2.91

Computed properties:
As for the density of states at the Fermi level: 2.46 states/eV/cell. As for the formation energy: 103 kJ/mol of formula units.

12.
LiTaHg: optimized geometry, PBEsol.

abc: 2.8933 2.8933 7.4982
angles: 90.00 90.00 120.00
With the nearest neighbours (Å) after each atom.
Element x y z (fractional)
Hg (0.0000, 0.0000, 0.9894)  3 Li 2.88, 6 Hg 2.89, 3 Ta 3.08
Li (0.3333, 0.6667, 0.6764)  3 Hg 2.88, 6 Li 2.89, 3 Ta 3.06
Ta (0.6667, 0.3333, 0.3343)  6 Ta 2.89, 3 Li 3.06, 3 Hg 3.08

Computed properties:
As for the density of states at the Fermi level: 2.28 states/eV/cell. As for the formation energy: 70 kJ/mol of formula units.

13.
LiTa2Hg: optimized geometry, PBEsol.

abc: 3.3985 3.3985 6.0619
angles: 90.00 90.00 90.00
With the nearest neighbours (Å) after each atom.
Element x y z (fractional)
Hg (0.0000, 0.0000, 0.5262)  4 Li 2.73, 5 Ta 2.94-3.02
Li (0.5000, 0.5000, 0.7387)  4 Hg 2.73, 5 Ta 2.92-2.94
Ta (0.0000, 0.0000, 0.0112)  4 Ta 2.73, 4 Li 2.92, 1 Hg 2.94
Ta (0.5000, 0.5000, 0.2239)  4 Ta 2.73, 1 Li 2.94, 4 Hg 3.02

Computed properties:
As for the density of states at the Fermi level: 3.06 states/eV/cell. As for the formation energy: 93 kJ/mol of formula units.

14.
LiTaHg2: optimized geometry, PBEsol.

abc: 2.9612 2.9612 8.1690
angles: 90.00 90.00 89.97
With the nearest neighbours (Å) after each atom.
Element x y z (fractional)
Hg (0.0000, 0.0000, 0.0089)  8 Hg 2.96-3.20, 4 Ta 2.97
Hg (0.5000, 0.5000, 0.7124)  4 Li 2.66, 4 Hg 2.96
Li (0.0000, 0.0000, 0.5117)  4 Hg 2.66, 4 Ta 2.89-2.90, 4 Li 2.96
Ta (0.5000, 0.5000, 0.2669)  4 Li 2.89-2.90, 4 Ta 2.96, 4 Hg 2.97

Computed properties:
As for the density of states at the Fermi level: 1.62 states/eV/cell. As for the formation energy: 75 kJ/mol of formula units.

15.
LiTaHg2: optimized geometry, PBEsol.

abc: 2.9316 4.5205 5.7377
angles: 90.00 90.00 90.00
With the nearest neighbours (Å) after each atom.
Element x y z (fractional)
Hg (0.0000, 0.0000, 0.9536)  2 Li 2.80-2.94, 4 Ta 2.86, 2 Hg 2.93
Hg (0.5000, 0.5000, 0.2944)  2 Ta 2.82-2.92, 4 Li 2.87, 2 Hg 2.93
Li (0.0000, 0.0000, 0.4660)  6 Hg 2.80-2.94, 2 Li 2.93
Ta (0.5000, 0.5000, 0.7861)  6 Hg 2.82-2.92, 2 Ta 2.93

Computed properties:
As for the density of states at the Fermi level: 2.59 states/eV/cell. As for the formation energy: 85 kJ/mol of formula units.